[1]
The following is a DFT calculation (PBE) of an optimized crystal structure of Lu2NiPt.

Energy of formation from the pure elements in eV per atom: -0.92

Cell: 5.438 4.306 6.826 Å, 90.00 90.90 90.00°
Positions (direct):
Lu: 0.139 0.250 0.314
Lu: 0.360 0.250 0.825
Lu: 0.640 0.750 0.175
Lu: 0.861 0.750 0.686
Ni: 0.128 0.750 0.034
Ni: 0.872 0.250 0.966
Pt: 0.341 0.750 0.548
Pt: 0.659 0.250 0.452



[2]
The following is a DFT calculation (PBE) of an optimized crystal structure of Lu4Ni3Pt.

Energy of formation from the pure elements in eV per atom: -0.73

Cell: 5.383 4.172 6.892 Å, 90.00 90.12 90.00°
Positions (direct):
Lu: 0.000 0.000 0.000
Lu: 0.231 0.000 0.506
Lu: 0.493 0.500 0.140
Lu: 0.731 0.500 0.649
Ni: 0.010 0.500 0.279
Ni: 0.236 0.500 0.787
Ni: 0.491 0.000 0.859
Pt: 0.726 0.000 0.363



[3]
The following is a DFT calculation (PBE) of an optimized crystal structure of LuNiPt.

Energy of formation from the pure elements in eV per atom: -0.25

Cell: 4.388 4.388 4.388 Å, 60.00 60.00 60.00°
Positions (direct):
Lu: 0.000 0.000 0.000
Ni: 0.750 0.750 0.750
Pt: 0.250 0.250 0.250



[4]
The following is a DFT calculation (PBE) of an optimized crystal structure of Lu2NiSb2Pt.

Electronic total energy in eV per cell: -140.7

Cell: 7.851 4.524 15.000 Å, 90.00 99.88 90.00°
Positions (direct):
Lu: 0.000 0.000 0.000
Lu: 0.002 0.500 0.494
Lu: 0.242 0.000 0.742
Lu: 0.246 0.500 0.245
Lu: 0.491 0.000 0.491
Lu: 0.499 0.500 0.000
Lu: 0.747 0.000 0.242
Lu: 0.752 0.500 0.742
Ni: 0.061 0.000 0.185
Ni: 0.061 0.500 0.680
Ni: 0.309 0.500 0.430
Ni: 0.559 0.500 0.185
Sb: 0.122 0.500 0.865
Sb: 0.128 0.000 0.367
Sb: 0.363 0.500 0.615
Sb: 0.374 0.000 0.126
Sb: 0.613 0.500 0.366
Sb: 0.622 0.000 0.870
Sb: 0.875 0.500 0.126
Sb: 0.881 0.000 0.620
Pt: 0.310 0.000 0.933
Pt: 0.559 0.000 0.680
Pt: 0.809 0.000 0.430
Pt: 0.811 0.500 0.933



[5]
The following is a DFT calculation (PBE) of an optimized crystal structure of LuSiNiPt.

Distance to the lowest polymorph of the same formula in eV per atom: 0.000

Cell: 4.463 4.463 4.463 Å, 60.00 60.00 60.00°
Positions (direct):
Lu: 0.000 0.000 0.000
Si: 0.500 0.500 0.500
Ni: 0.750 0.750 0.750
Pt: 0.250 0.250 0.250



[6]
The following is a DFT calculation (PBE) of an optimized crystal structure of LuSiNiPt.

Distance to the lowest polymorph of the same formula in eV per atom: 0.237

Cell: 4.515 4.515 4.515 Å, 60.00 60.00 60.00°
Positions (direct):
Lu: 0.000 0.000 0.000
Si: 0.250 0.250 0.250
Ni: 0.500 0.500 0.500
Pt: 0.750 0.750 0.750



no.,calculated density (g/cm³)
1,12.55
2,11.49
3,11.92
4,10.72
5,12.07
6,11.65